(1)
# Ce4SnPb, optimized geometry, DFT GGA-PBE
# Energy of formation from the pure elements, eV per atom: -0.2719
# SG: Immm, No. 71
# Excess energy over the best structure of this formula in the dataset, eV per atom: 0.093
data_Ce4SnPb
_chemical_formula_sum 'Ce4 Sn1 Pb1'
_space_group_name_H-M_alt 'P 1'
_space_group_IT_number 1
_space_group_name_Hall 'P 1'
_cell_length_a 6.1471
_cell_length_b 6.1471
_cell_length_c 6.1471
_cell_angle_alpha 127.08
_cell_angle_beta 116.68
_cell_angle_gamma 87.03
loop_
_atom_site_label
_atom_site_type_symbol
_atom_site_fract_x
_atom_site_fract_y
_atom_site_fract_z
_atom_site_occupancy
Ce1 Ce 0.0966 0.8486 0.2480 1
Ce2 Ce 0.3993 0.1514 0.2480 1
Ce3 Ce 0.6007 0.8486 0.7520 1
Ce4 Ce 0.9034 0.1514 0.7520 1
Sn1 Sn 0.0000 0.5000 0.5000 1
Pb1 Pb 0.5000 0.5000 0.0000 1

***

(2)
# Zr4Ta3TiN8, optimized geometry, DFT GGA-PBE
# SG: R-3m, No. 166
# ΔE_f (raw), eV per atom: -1.40
data_Zr4Ta3TiN8
_chemical_formula_sum 'Zr4 Ta3 Ti1 N8'
_space_group_name_H-M_alt 'P 1'
_space_group_IT_number 1
_space_group_name_Hall 'P 1'
_cell_length_a 6.3647
_cell_length_b 6.3647
_cell_length_c 6.3647
_cell_angle_alpha 59.85
_cell_angle_beta 59.85
_cell_angle_gamma 59.85
loop_
_atom_site_label
_atom_site_type_symbol
_atom_site_fract_x
_atom_site_fract_y
_atom_site_fract_z
_atom_site_occupancy
Zr1 Zr 0.0000 0.0000 0.0000 1
Zr2 Zr 0.0000 0.5000 0.5000 1
Zr3 Zr 0.5000 0.0000 0.5000 1
Zr4 Zr 0.5000 0.5000 0.0000 1
Ta1 Ta 0.0000 0.0000 0.5000 1
Ta2 Ta 0.0000 0.5000 0.0000 1
Ta3 Ta 0.5000 0.0000 0.0000 1
Ti1 Ti 0.5000 0.5000 0.5000 1
N1 N 0.2449 0.2449 0.2449 1
N2 N 0.2465 0.7430 0.7429 1
N3 N 0.2570 0.2571 0.7535 1
N4 N 0.2570 0.7535 0.2570 1
N5 N 0.7430 0.2465 0.7430 1
N6 N 0.7430 0.7430 0.2465 1
N7 N 0.7535 0.2570 0.2570 1
N8 N 0.7551 0.7551 0.7551 1

***

(3)
# PrMgNi, optimized geometry, DFT GGA-PBE
# Energy of formation from the pure elements, eV per atom: -0.1052
# SG: F-43m, No. 216
data_PrMgNi
_chemical_formula_sum 'Pr1 Mg1 Ni1'
_space_group_name_H-M_alt 'P 1'
_space_group_IT_number 1
_space_group_name_Hall 'P 1'
_cell_length_a 4.6950
_cell_length_b 4.6950
_cell_length_c 4.6950
_cell_angle_alpha 60.00
_cell_angle_beta 60.00
_cell_angle_gamma 60.00
loop_
_atom_site_label
_atom_site_type_symbol
_atom_site_fract_x
_atom_site_fract_y
_atom_site_fract_z
_atom_site_occupancy
Pr1 Pr 0.0000 0.0000 0.0000 1
Mg1 Mg 0.5000 0.5000 0.5000 1
Ni1 Ni 0.7500 0.7500 0.7500 1